SrLi2AsO (GGA-PBE, optimized geometry); electronic total energy = -21.40 eV for the cell shown; volume = 18.47 A^3/atom; crystal system = tetragonal; formation energy (no corrections) = -1256 meV/atom
1.0
4.269 0.000 0.000
0.000 4.269 0.000
0.000 0.000 5.068
Li Sr O As
2 1 1 1
direct
0.000 0.500 0.966 Li
0.500 0.000 0.966 Li
0.000 0.000 0.483 Sr
0.000 0.000 0.002 O
0.500 0.500 0.584 As

***

BaNaCuP2 (GGA-PBE, optimized geometry); electronic total energy = -13.47 eV for the cell shown; volume = 36.71 A^3/atom; crystal system = tetragonal; E_form = 0.9374 eV/atom
1.0
5.676 0.000 0.000
0.000 5.696 0.000
0.000 0.000 5.676
P Ba Na Cu
2 1 1 1
direct
0.000 0.000 0.500 P
0.500 0.000 0.000 P
0.000 0.000 0.000 Ba
0.500 0.500 0.500 Na
0.000 0.500 0.000 Cu

***

Gd2DyCo (GGA-PBE, optimized geometry); electronic total energy = -39.95 eV for the cell shown; volume = 26.02 A^3/atom; offset from the most stable computed form = 0.0 meV/atom; crystal system = tetragonal; E_form = -0.0193 eV/atom
1.0
3.424 0.000 0.000
0.000 3.424 0.000
0.000 0.000 8.876
Dy Gd Co
1 2 1
direct
0.500 0.500 0.500 Dy
0.000 0.000 0.816 Gd
0.000 0.000 0.184 Gd
0.500 0.500 0.000 Co